# 1
A plane-wave DFT calculation with PBE was carried out for a geometry-optimized GePb2O structure.

Geometry as POSCAR:
```
GePb2O
1.0
5.783 0.000 0.000
0.000 5.783 0.000
2.891 2.891 6.513
O Ge Pb
2 2 4
direct
0.250 0.750 0.500
0.500 0.500 0.000
0.750 0.250 0.500
0.000 0.000 0.000
0.192 0.625 0.250
0.375 0.442 0.750
0.875 0.808 0.750
0.558 0.125 0.250
```

Size of the total moment (μB/f.u.): 0.0
ΔE to the lowest computed polymorph (kJ/mol of formula units): 0
Formation energy from raw total energies (meV per atom): -152
Crystal system: tetragonal
E (eV per atom): -4.400

---

# 2
A plane-wave DFT calculation with PBE was carried out for a geometry-optimized ReAgAs2 structure.

Geometry as POSCAR:
```
ReAgAs2
1.0
4.504 0.000 0.000
0.000 2.655 -0.039
0.000 -2.404 6.058
As Re Ag
2 1 1
direct
0.000 0.030 0.020
0.000 0.470 0.480
0.500 0.250 0.250
0.500 0.750 0.750
```

Size of the total moment (μB/f.u.): 0.0
ΔE to the lowest computed polymorph (kJ/mol of formula units): 139
Crystal system: monoclinic
E (eV per atom): -5.639
DFT formation energy (eV/atom): 0.51

---

# 3
A plane-wave DFT calculation with PBE was carried out for a geometry-optimized Cu3As structure.

Geometry as POSCAR:
```
Cu3As
1.0
4.212 0.000 0.000
0.000 2.672 0.010
0.000 1.624 4.947
As Cu
1 3
direct
0.000 0.000 0.000
0.500 0.034 0.731
0.500 0.966 0.269
0.000 0.500 0.500
```

Size of the total moment (μB/f.u.): 0.0
Crystal system: monoclinic
E (eV per atom): -4.114
DFT formation energy (eV/atom): 0.12

---

# 4
A plane-wave DFT calculation with PBE was carried out for a geometry-optimized ErAl3B4O12 structure.

Geometry as POSCAR:
```
ErAl3B4O12
1.0
-0.372 -3.415 4.818
5.686 1.625 -0.207
-2.884 4.949 1.487
B O Er Al
4 12 1 3
direct
0.500 0.500 0.500
0.056 0.944 0.500
0.500 0.056 0.944
0.944 0.500 0.056
0.351 0.500 0.649
0.500 0.649 0.351
0.630 0.029 0.781
0.092 0.500 0.908
0.971 0.370 0.219
0.649 0.351 0.500
0.219 0.971 0.370
0.370 0.219 0.971
0.029 0.781 0.630
0.500 0.908 0.092
0.908 0.092 0.500
0.781 0.630 0.029
0.000 0.000 0.000
0.445 0.555 0.000
0.555 0.000 0.445
0.000 0.445 0.555
```

Size of the total moment (μB/f.u.): 0.0
Formation energy from raw total energies (meV per atom): -2833
Crystal system: trigonal
E (eV per atom): -7.933

---

no.,V (A^3/atom)
1,27.22
2,18.00
3,13.91
4,9.19